# 1
NaLaCdSe3 (PBE-GGA, relaxed); ΔE to the lowest computed polymorph = 0.0 meV/atom; symmetry = No. 62
1.0
12.222 0.000 0.000
0.000 4.393 0.000
0.000 0.000 12.421
Na La Cd Se
4 4 4 12
direct
0.145 0.250 0.002
0.355 0.750 0.502
0.645 0.250 0.498
0.855 0.750 0.998
0.025 0.250 0.679
0.475 0.750 0.179
0.525 0.250 0.821
0.975 0.750 0.321
0.244 0.250 0.288
0.256 0.750 0.788
0.744 0.250 0.212
0.756 0.750 0.712
0.050 0.750 0.851
0.093 0.250 0.437
0.216 0.750 0.168
0.284 0.250 0.668
0.407 0.750 0.937
0.450 0.250 0.351
0.550 0.750 0.649
0.593 0.250 0.063
0.716 0.750 0.332
0.784 0.250 0.832
0.907 0.750 0.563
0.950 0.250 0.149

# 2
NaLaCdSe3 (PBE-GGA, relaxed); ΔE to the lowest computed polymorph = 15.3 meV/atom; symmetry = No. 63
1.0
2.152 -6.841 0.000
2.152 6.841 0.000
0.000 0.000 11.537
Na La Cd Se
2 2 2 6
direct
0.244 0.756 0.750
0.756 0.244 0.250
0.000 0.000 0.000
0.000 0.000 0.500
0.469 0.531 0.250
0.531 0.469 0.750
0.089 0.911 0.250
0.357 0.643 0.067
0.357 0.643 0.433
0.643 0.357 0.567
0.643 0.357 0.933
0.911 0.089 0.750

# 3
NaLaCdSe3 (PBE-GGA, relaxed); ΔE to the lowest computed polymorph = 19.0 meV/atom; symmetry = No. 62
1.0
13.902 0.000 0.000
0.000 4.334 0.000
0.000 0.000 11.807
Na La Cd Se
4 4 4 12
direct
0.244 0.250 0.085
0.256 0.750 0.585
0.744 0.250 0.415
0.756 0.750 0.915
0.026 0.250 0.342
0.474 0.750 0.842
0.526 0.250 0.158
0.974 0.750 0.658
0.012 0.750 0.096
0.488 0.250 0.596
0.512 0.750 0.404
0.988 0.250 0.904
0.103 0.750 0.885
0.105 0.250 0.575
0.153 0.750 0.245
0.347 0.250 0.745
0.395 0.750 0.075
0.397 0.250 0.385
0.603 0.750 0.615
0.605 0.250 0.925
0.653 0.750 0.255
0.847 0.250 0.755
0.895 0.750 0.425
0.897 0.250 0.115

# 4
NaLaCdSe3 (PBE-GGA, relaxed); ΔE to the lowest computed polymorph = 20.8 meV/atom; symmetry = No. 11
1.0
8.079 0.000 0.000
0.000 4.338 0.000
-2.022 0.000 10.030
Na La Cd Se
2 2 2 6
direct
0.248 0.250 0.254
0.752 0.750 0.746
0.296 0.750 0.869
0.704 0.250 0.131
0.080 0.250 0.605
0.920 0.750 0.395
0.034 0.250 0.852
0.250 0.750 0.546
0.456 0.750 0.156
0.544 0.250 0.844
0.750 0.250 0.454
0.966 0.750 0.148

# 5
LaNbCd (PBE-GGA, relaxed); ΔE to the lowest computed polymorph = 0.0 meV/atom; symmetry = No. 216; DFT formation energy = 0.72 eV per atom
1.0
0.000 3.475 3.475
3.475 0.000 3.475
3.475 3.475 0.000
La Nb Cd
1 1 1
direct
0.000 0.000 0.000
0.250 0.250 0.250
0.500 0.500 0.500

# 6
LaNbCd (PBE-GGA, relaxed); ΔE to the lowest computed polymorph = 391.6 meV/atom; symmetry = No. 216; DFT formation energy = 1.12 eV per atom
1.0
0.000 3.567 3.567
3.567 0.000 3.567
3.567 3.567 0.000
La Nb Cd
1 1 1
direct
0.000 0.000 0.000
0.250 0.250 0.250
0.750 0.750 0.750

# 7
LaNdCd4Ni2 (PBE-GGA, relaxed); symmetry = No. 38; DFT formation energy = -0.35 eV per atom
1.0
8.227 0.000 0.000
0.000 2.111 4.937
0.000 -2.111 4.937
La Nd Cd Ni
1 1 4 2
direct
0.000 0.000 0.000
0.500 0.122 0.122
0.202 0.708 0.708
0.304 0.412 0.412
0.696 0.412 0.412
0.798 0.708 0.708
0.000 0.282 0.282
0.500 0.836 0.836

# 8
LaNdCd2Pb2 (PBE-GGA, relaxed); ΔE to the lowest computed polymorph = 0.0 meV/atom; symmetry = No. 194
1.0
4.922 0.000 0.000
-2.461 4.263 0.000
0.000 0.000 16.691
La Nd Cd Pb
2 2 4 4
direct
0.000 0.000 0.000
0.000 0.000 0.500
0.000 0.000 0.250
0.000 0.000 0.750
0.333 0.667 0.158
0.333 0.667 0.342
0.667 0.333 0.658
0.667 0.333 0.842
0.333 0.667 0.606
0.333 0.667 0.894
0.667 0.333 0.106
0.667 0.333 0.394

# 9
LaNdCd2Sn2 (PBE-GGA, relaxed); ΔE to the lowest computed polymorph = 20.8 meV/atom; symmetry = No. 194
1.0
4.829 0.000 0.000
-2.415 4.182 0.000
0.000 0.000 16.484
La Nd Cd Sn
2 2 4 4
direct
0.000 0.000 0.250
0.000 0.000 0.750
0.000 0.000 0.000
0.000 0.000 0.500
0.333 0.667 0.151
0.333 0.667 0.349
0.667 0.333 0.651
0.667 0.333 0.849
0.333 0.667 0.608
0.333 0.667 0.892
0.667 0.333 0.108
0.667 0.333 0.392

# 10
LaNdCd2Sn2 (PBE-GGA, relaxed); ΔE to the lowest computed polymorph = 0.0 meV/atom; symmetry = No. 194
1.0
4.818 0.000 0.000
-2.409 4.172 0.000
0.000 0.000 16.565
La Nd Cd Sn
2 2 4 4
direct
0.000 0.000 0.000
0.000 0.000 0.500
0.000 0.000 0.250
0.000 0.000 0.750
0.333 0.667 0.154
0.333 0.667 0.346
0.667 0.333 0.654
0.667 0.333 0.846
0.333 0.667 0.610
0.333 0.667 0.890
0.667 0.333 0.110
0.667 0.333 0.390

# 11
LaCdNi (PBE-GGA, relaxed); symmetry = No. 216; DFT formation energy = -0.24 eV per atom
1.0
0.000 3.314 3.314
3.314 0.000 3.314
3.314 3.314 0.000
La Cd Ni
1 1 1
direct
0.000 0.000 0.000
0.500 0.500 0.500
0.750 0.750 0.750

# 12
La2Cd4NiPd (PBE-GGA, relaxed); symmetry = No. 38; DFT formation energy = -0.48 eV per atom
1.0
8.405 0.000 0.000
0.000 2.147 5.028
0.000 -2.147 5.028
La Cd Ni Pd
2 4 1 1
direct
0.000 0.000 0.000
0.500 0.127 0.127
0.195 0.709 0.709
0.295 0.417 0.417
0.705 0.417 0.417
0.805 0.709 0.709
0.000 0.283 0.283
0.500 0.842 0.842